[1]
An optimized crystal structure of NdAg2Cl5. Source: Alexandria via LeMat-Bulk, functional PBE.

ΔE_f (raw), kJ/mol of formula units: -1027
Mass density, g/cm3: 3.9
Volume, A^3/atom: 28.7
Crystal system: monoclinic
Electronic total energy, eV/f.u.: -30.35
Total moment, μB per cell: 0.000

Lattice parameters (Å, degrees): 7.399 10.383 7.602 66.74 60.88 69.13
Sites, in units of the cell vectors:
Nd: 0.951 0.784 0.314
Nd: 0.951 0.284 0.814
Ag: 0.644 0.592 0.252
Ag: 0.259 0.972 0.380
Ag: 0.511 0.092 0.752
Ag: 0.388 0.472 0.880
Cl: 0.700 0.336 0.606
Cl: 0.039 0.642 0.035
Cl: 0.200 0.232 0.023
Cl: 0.358 0.836 0.106
Cl: 0.284 0.142 0.535
Cl: 0.546 0.732 0.523
Cl: 0.618 0.427 0.092
Cl: 0.863 0.927 0.592
Cl: 0.801 0.034 0.063
Cl: 0.101 0.534 0.563

=====

[2]
An optimized crystal structure of Nd2Ag5Cl12. Source: Alexandria via LeMat-Bulk, functional PBE.

ΔE_f (raw), kJ/mol of formula units: -2157
Mass density, g/cm3: 3.5
Volume, A^3/atom: 31.7
Crystal system: triclinic
Electronic total energy, eV/f.u.: -68.30
Total moment, μB per cell: 0.000

Lattice parameters (Å, degrees): 8.338 7.717 11.075 109.63 75.22 115.14
Sites, in units of the cell vectors:
Nd: 0.740 0.980 0.007
Nd: 0.260 0.020 0.993
Ag: 0.444 0.614 0.671
Ag: 0.071 0.422 0.332
Ag: 0.000 0.000 0.500
Ag: 0.929 0.578 0.668
Ag: 0.556 0.386 0.329
Cl: 0.924 0.883 0.132
Cl: 0.166 0.647 0.824
Cl: 0.654 0.617 0.830
Cl: 0.139 0.773 0.500
Cl: 0.695 0.723 0.497
Cl: 0.604 0.110 0.865
Cl: 0.396 0.890 0.135
Cl: 0.861 0.227 0.500
Cl: 0.305 0.277 0.503
Cl: 0.834 0.353 0.176
Cl: 0.346 0.383 0.170
Cl: 0.076 0.117 0.868

=====

[3]
An optimized crystal structure of Nd2AgCl. Source: Alexandria via LeMat-Bulk, functional PBE.

ΔE_f (raw), kJ/mol of formula units: -272
Mass density, g/cm3: 6.7
Volume, A^3/atom: 26.6
Energy above the most stable polymorph in this dataset, meV/atom: 65.0
Crystal system: trigonal
Electronic total energy, eV/f.u.: -17.06
Total moment, μB per cell: 0.000

Lattice parameters (Å, degrees): 3.661 3.661 9.417 78.79 78.79 60.00
Sites, in units of the cell vectors:
Nd: 0.086 0.086 0.743
Nd: 0.248 0.248 0.257
Ag: 0.666 0.666 0.002
Cl: 0.501 0.501 0.498

=====

[4]
An optimized crystal structure of NdAg2Cl6. Source: Alexandria via LeMat-Bulk, functional PBE.

ΔE_f (raw), kJ/mol of formula units: -987
Mass density, g/cm3: 3.9
Volume, A^3/atom: 27.4
Energy above the most stable polymorph in this dataset, meV/atom: 34.3
Crystal system: monoclinic
Electronic total energy, eV/f.u.: -31.78
Total moment, μB per cell: 0.000

Lattice parameters (Å, degrees): 6.790 8.848 8.848 79.25 75.33 75.33
Sites, in units of the cell vectors:
Nd: 0.250 0.138 0.862
Nd: 0.750 0.862 0.138
Ag: 0.299 0.605 0.713
Ag: 0.201 0.287 0.395
Ag: 0.701 0.395 0.287
Ag: 0.799 0.713 0.605
Cl: 0.484 0.764 0.491
Cl: 0.016 0.509 0.236
Cl: 0.516 0.236 0.509
Cl: 0.984 0.491 0.764
Cl: 0.946 0.880 0.370
Cl: 0.554 0.630 0.120
Cl: 0.054 0.120 0.630
Cl: 0.446 0.370 0.880
Cl: 0.142 0.828 0.935
Cl: 0.358 0.065 0.172
Cl: 0.858 0.172 0.065
Cl: 0.642 0.935 0.828

=====

Number 2 is which compound?
Nd2Ag5Cl12

=====

volume of number 4 (NdAg2Cl6)?
27.4 A^3/atom

=====

Copy entry 3 word for word.
An optimized crystal structure of Nd2AgCl. Source: Alexandria via LeMat-Bulk, functional PBE.

ΔE_f (raw), kJ/mol of formula units: -272
Mass density, g/cm3: 6.7
Volume, A^3/atom: 26.6
Energy above the most stable polymorph in this dataset, meV/atom: 65.0
Crystal system: trigonal
Electronic total energy, eV/f.u.: -17.06
Total moment, μB per cell: 0.000

Lattice parameters (Å, degrees): 3.661 3.661 9.417 78.79 78.79 60.00
Sites, in units of the cell vectors:
Nd: 0.086 0.086 0.743
Nd: 0.248 0.248 0.257
Ag: 0.666 0.666 0.002
Cl: 0.501 0.501 0.498